Record 1
Here is an optimized crystal structure of Ba2AgPd from Alexandria. Energies are from PBE.

total energy = -24.88 eV per cell

a b c (Å): 8.6382 8.6382 7.3384
angles (deg): 53.94 53.94 90.00
Closest atoms and distances in Å follow each position.
Element x y z (fractional)
Pd 0.5000 0.5000 0.0000  4 Ba 3.08
Pd 0.2500 0.7500 0.5000  4 Ba 3.08
Ba 0.6009 0.1250 0.2500  2 Pd 3.08, 2 Ag 3.36
Ba 0.1491 0.6250 0.2500  2 Pd 3.08, 2 Ag 3.36
Ba 0.3750 0.3991 0.7500  2 Pd 3.08, 2 Ag 3.36
Ba 0.8750 0.8509 0.7500  2 Pd 3.08, 2 Ag 3.36
Ag 0.0000 0.0000 0.0000  4 Ba 3.36
Ag 0.7500 0.2500 0.5000  4 Ba 3.36



Record 2
Here is an optimized crystal structure of Ba6AgPd2 from Alexandria. Energies are from PBE.

total energy = -27.36 eV per cell

a b c (Å): 6.1914 8.2736 10.2251
angles (deg): 68.77 72.38 68.03
Closest atoms and distances in Å follow each position.
Element x y z (fractional)
Ba 0.6993 0.6916 0.9097  3 Pd 3.12-3.30
Ba 0.3007 0.3084 0.0903  3 Pd 3.12-3.30
Ba 0.9830 0.8289 0.2052  2 Pd 3.18-3.20, 1 Ag 3.25
Ba 0.3482 0.7206 0.5829  1 Pd 3.17
Ba 0.0170 0.1711 0.7948  2 Pd 3.18-3.20, 1 Ag 3.25
Ba 0.6518 0.2794 0.4171  1 Pd 3.17
Ag 0.0000 0.5000 0.5000  2 Ba 3.25
Pd 0.1784 0.7397 0.9035  6 Ba 3.12-3.30
Pd 0.8216 0.2603 0.0965  6 Ba 3.12-3.30



Record 3
Here is an optimized crystal structure of BaAg4Pd from Alexandria. Energies are from PBE.

total energy = -38.32 eV per cell

a b c (Å): 4.3608 7.7267 8.4124
angles (deg): 90.00 90.00 90.00
Closest atoms and distances in Å follow each position.
Element x y z (fractional)
Ba 0.0000 0.6000 0.7500  1 Pd 2.96
Ba 0.0000 0.4000 0.2500  1 Pd 2.96
Ag 0.0000 0.0000 0.5000  2 Pd 2.69, 4 Ag 3.00
Ag 0.0000 0.0000 0.0000  2 Pd 2.69, 4 Ag 3.00
Ag 0.5000 0.9604 0.7500  8 Ag 2.89-3.04, 2 Pd 2.95
Ag 0.5000 0.0396 0.2500  8 Ag 2.89-3.04, 2 Pd 2.95
Ag 0.5000 0.7375 0.0468  2 Pd 2.79, 4 Ag 2.89-3.03
Ag 0.5000 0.2625 0.9532  2 Pd 2.79, 4 Ag 2.89-3.03
Ag 0.5000 0.7375 0.4532  2 Pd 2.79, 4 Ag 2.89-3.03
Ag 0.5000 0.2625 0.5468  2 Pd 2.79, 4 Ag 2.89-3.03
Pd 0.0000 0.2175 0.7500  8 Ag 2.69-2.95, 1 Ba 2.96
Pd 0.0000 0.7825 0.2500  8 Ag 2.69-2.95, 1 Ba 2.96



Record 4
Here is an optimized crystal structure of BaAg2Pd from Alexandria. Energies are from PBE.

total energy = -26.66 eV per cell

a b c (Å): 5.0448 5.0448 10.1963
angles (deg): 75.68 75.68 90.00
Closest atoms and distances in Å follow each position.
Element x y z (fractional)
Pd 0.5000 0.5000 0.0000  4 Ag 2.72
Pd 0.2500 0.7500 0.5000  4 Ag 2.72
Ba 0.0000 0.0000 0.0000  4 Ag 3.49, 4 Pd 3.57
Ba 0.7500 0.2500 0.5000  4 Ag 3.49, 4 Pd 3.57
Ag 0.4366 0.1250 0.2500  2 Ag 2.60, 2 Pd 2.72
Ag 0.3134 0.6250 0.2500  2 Ag 2.60, 2 Pd 2.72
Ag 0.3750 0.5634 0.7500  2 Ag 2.60, 2 Pd 2.72
Ag 0.8750 0.6866 0.7500  2 Ag 2.60, 2 Pd 2.72



Record 5
Here is an optimized crystal structure of Ba3AgPd8 from Alexandria. Energies are from PBE.

total energy = -55.12 eV per cell

a b c (Å): 5.6605 5.6605 9.7574
angles (deg): 73.14 73.14 60.00
Closest atoms and distances in Å follow each position.
Element x y z (fractional)
Ba 0.3769 0.3769 0.8692  12 Pd 3.32-3.37, 4 Ba 3.54-3.56
Ba 0.9922 0.9922 0.0235  12 Pd 3.22-3.57, 1 Ag 3.46, 3 Ba 3.56
Ba 0.5053 0.5053 0.4841  12 Pd 3.16-3.35, 3 Ag 3.36
Ag 0.8668 0.8668 0.3996  6 Pd 3.04-3.28, 3 Ba 3.36
Pd 0.9364 0.4368 0.1900  6 Pd 2.77-2.86
Pd 0.4414 0.9400 0.6786  6 Pd 2.79-2.86, 1 Ag 3.04
Pd 0.4368 0.4368 0.1900  6 Pd 2.77-2.86
Pd 0.9400 0.9400 0.6786  6 Pd 2.79-2.86, 1 Ag 3.04
Pd 0.1890 0.1890 0.4330  6 Pd 2.77-2.79
Pd 0.6884 0.6884 0.9348  6 Pd 2.86
Pd 0.4368 0.9364 0.1900  6 Pd 2.77-2.86
Pd 0.9400 0.4414 0.6786  6 Pd 2.79-2.86, 1 Ag 3.04



Record 6
Here is an optimized crystal structure of Ba3Ag2Pd4 from Alexandria. Energies are from PBE.

total energy = -35.85 eV per cell

a b c (Å): 4.6668 6.4551 9.2392
angles (deg): 103.14 90.00 111.19
Closest atoms and distances in Å follow each position.
Element x y z (fractional)
Ba 0.6610 0.3219 0.6727  8 Pd 3.40-3.57, 4 Ag 3.48-3.53
Ba 0.0000 0.0000 0.0000  8 Pd 3.48-3.54, 4 Ag 3.52
Ba 0.3390 0.6781 0.3273  8 Pd 3.40-3.57, 4 Ag 3.48-3.53
Ag 0.6177 0.2353 0.2806  3 Pd 2.72
Ag 0.3823 0.7647 0.7194  3 Pd 2.72
Pd 0.7231 0.4462 0.0515  2 Pd 2.66, 1 Ag 2.72
Pd 0.2769 0.5538 0.9485  2 Pd 2.66, 1 Ag 2.72
Pd 0.9411 0.8822 0.6057  1 Pd 2.68, 2 Ag 2.72
Pd 0.0589 0.1178 0.3943  1 Pd 2.68, 2 Ag 2.72



Record 7
Here is an optimized crystal structure of Ba2Ag5Pd5 from Alexandria. Energies are from PBE.

total energy = -47.90 eV per cell

a b c (Å): 4.4932 5.7576 9.9636
angles (deg): 90.00 90.00 90.00
Closest atoms and distances in Å follow each position.
Element x y z (fractional)
Ba 0.0000 0.5000 0.0000  10 Ag 3.32-3.65, 8 Pd 3.65
Ba 0.0000 0.0000 0.5000  6 Ag 3.26-3.32, 8 Pd 3.65
Ag 0.0000 0.5000 0.3334  6 Pd 2.79
Ag 0.0000 0.0000 0.8269  4 Pd 2.78, 2 Ag 2.83
Ag 0.0000 0.0000 0.1731  4 Pd 2.78, 2 Ag 2.83
Ag 0.0000 0.5000 0.6666  6 Pd 2.79
Ag 0.5000 0.0000 0.0000  4 Ag 2.83, 4 Pd 2.89
Pd 0.5000 0.5000 0.5000  4 Ag 2.79, 4 Pd 2.87
Pd 0.5000 0.7489 0.2510  5 Ag 2.78-2.89, 3 Pd 2.87-2.89
Pd 0.5000 0.2511 0.7490  5 Ag 2.78-2.89, 3 Pd 2.87-2.89
Pd 0.5000 0.2511 0.2510  5 Ag 2.78-2.89, 3 Pd 2.87-2.89
Pd 0.5000 0.7489 0.7490  5 Ag 2.78-2.89, 3 Pd 2.87-2.89



Record 8
Here is an optimized crystal structure of Ba6Ag5Pd from Alexandria. Energies are from PBE.

total energy = -34.26 eV per cell

a b c (Å): 5.7691 8.2391 9.1029
angles (deg): 90.00 108.64 90.00
Closest atoms and distances in Å follow each position.
Element x y z (fractional)
Pd 0.0000 0.0000 0.0000  8 Ba 3.46-3.50
Ba 0.8383 0.7539 0.6756  1 Pd 3.46, 7 Ag 3.49-3.61
Ba 0.8384 0.2461 0.6756  1 Pd 3.46, 7 Ag 3.49-3.61
Ba 0.5000 0.2402 0.0000  2 Pd 3.50, 6 Ag 3.56-3.59
Ba 0.5000 0.7598 0.0000  2 Pd 3.50, 6 Ag 3.56-3.59
Ba 0.1616 0.7539 0.3244  1 Pd 3.46, 7 Ag 3.49-3.61
Ba 0.1617 0.2461 0.3244  1 Pd 3.46, 7 Ag 3.49-3.61
Ag 0.6659 0.5000 0.3343  8 Ba 3.56-3.61
Ag 0.3293 0.0000 0.6567  8 Ba 3.51-3.56
Ag 0.0000 0.5000 0.0000  8 Ba 3.49-3.59
Ag 0.6707 0.0000 0.3433  8 Ba 3.51-3.56
Ag 0.3341 0.5000 0.6657  8 Ba 3.56-3.61



Record 9
Here is an optimized crystal structure of Ba2AgPd from Alexandria. Energies are from PBE.

total energy = -13.15 eV per cell

a b c (Å): 4.6275 4.6275 8.6376
angles (deg): 74.46 74.46 60.00
Closest atoms and distances in Å follow each position.
Element x y z (fractional)
Ba 0.0735 0.0735 0.7795  3 Pd 3.24, 3 Ag 3.54
Ba 0.2598 0.2598 0.2206  3 Pd 3.21, 3 Ag 3.50
Ag 0.5013 0.5013 0.4961  6 Ba 3.50-3.54
Pd 0.6654 0.6654 0.0037  6 Ba 3.21-3.24



Record 10
Here is an optimized crystal structure of Ba3Ag3Pd2 from Alexandria. Energies are from PBE.

total energy = -55.44 eV per cell

a b c (Å): 4.6601 6.4846 17.4989
angles (deg): 90.00 90.00 111.06
Closest atoms and distances in Å follow each position.
Element x y z (fractional)
Ba 0.8662 0.7324 0.4129  4 Pd 3.41-3.67, 7 Ag 3.48-3.76
Ba 0.1338 0.2676 0.9129  4 Pd 3.41-3.67, 7 Ag 3.48-3.76
Ba 0.8662 0.7324 0.0871  4 Pd 3.41-3.67, 7 Ag 3.48-3.76
Ba 0.1338 0.2676 0.5871  4 Pd 3.41-3.67, 7 Ag 3.48-3.76
Ba 0.5940 0.1880 0.2500  4 Pd 3.38, 5 Ag 3.40-3.52
Ba 0.4060 0.8120 0.7500  4 Pd 3.38, 5 Ag 3.40-3.52
Ag 0.5819 0.1638 0.4439  2 Pd 2.77, 1 Ag 2.79
Ag 0.4181 0.8362 0.9439  2 Pd 2.77, 1 Ag 2.79
Ag 0.5819 0.1638 0.0561  2 Pd 2.77, 1 Ag 2.79
Ag 0.4181 0.8362 0.5561  2 Pd 2.77, 1 Ag 2.79
Ag 0.3034 0.6068 0.2500  2 Pd 2.83
Ag 0.6966 0.3932 0.7500  2 Pd 2.83
Pd 0.8338 0.6676 0.8806  3 Ag 2.77-2.83
Pd 0.1662 0.3324 0.3806  3 Ag 2.77-2.83
Pd 0.8338 0.6676 0.6194  3 Ag 2.77-2.83
Pd 0.1662 0.3324 0.1194  3 Ag 2.77-2.83



Record 11
Here is an optimized crystal structure of BaAg6Pd2 from Alexandria. Energies are from PBE.

total energy = -28.64 eV per cell

a b c (Å): 4.5921 7.6549 7.6549
angles (deg): 54.17 72.55 72.55
Closest atoms and distances in Å follow each position.
Element x y z (fractional)
Ba 0.0000 0.0000 0.0000  4 Ag 3.19
Ag 0.6995 0.0059 0.5950  4 Ag 2.68-2.86, 1 Pd 2.84
Ag 0.3005 0.9941 0.4050  4 Ag 2.68-2.86, 1 Pd 2.84
Ag 0.3005 0.4050 0.9941  4 Ag 2.68-2.86, 1 Pd 2.84
Ag 0.5000 0.6823 0.3177  3 Ag 2.54-2.68
Ag 0.5000 0.3177 0.6823  3 Ag 2.54-2.68
Ag 0.6995 0.5950 0.0059  4 Ag 2.68-2.86, 1 Pd 2.84
Pd 0.8905 0.6095 0.6095  1 Pd 2.81, 6 Ag 2.84-2.98
Pd 0.1095 0.3905 0.3905  1 Pd 2.81, 6 Ag 2.84-2.98



Record 12
Here is an optimized crystal structure of Ba3Ag2Pd7 from Alexandria. Energies are from PBE.

total energy = -53.40 eV per cell

a b c (Å): 5.7310 5.7310 9.7448
angles (deg): 72.90 72.90 60.00
Closest atoms and distances in Å follow each position.
Element x y z (fractional)
Ba 0.0000 0.0000 0.0000  6 Ag 3.31, 12 Pd 3.66
Ba 0.8608 0.8608 0.4177  12 Pd 3.26-3.48, 3 Ba 3.64
Ba 0.1392 0.1392 0.5823  12 Pd 3.26-3.48, 3 Ba 3.64
Ag 0.6670 0.6670 0.9990  6 Pd 2.81-2.82
Ag 0.3330 0.3330 0.0010  6 Pd 2.81-2.82
Pd 0.5000 0.5000 0.5000  6 Pd 2.84
Pd 0.9169 0.4173 0.2485  2 Ag 2.81-2.82, 5 Pd 2.84-2.87
Pd 0.4173 0.9169 0.2485  2 Ag 2.81-2.82, 5 Pd 2.84-2.87
Pd 0.4173 0.4173 0.2485  2 Ag 2.81-2.82, 5 Pd 2.84-2.87
Pd 0.0831 0.5827 0.7515  2 Ag 2.81-2.82, 5 Pd 2.84-2.87
Pd 0.5827 0.5827 0.7515  2 Ag 2.81-2.82, 5 Pd 2.84-2.87
Pd 0.5827 0.0831 0.7515  2 Ag 2.81-2.82, 5 Pd 2.84-2.87



The calculation returns the following formation energy from the elements values, one per record and in order: -138; -288; -107; -127; -413; -401; -319; -273; -315; -377; 86; -465 meV per atom.